A plane-wave DFT calculation with meta-GGA SCAN was carried out for a crystal of AsPBr2 relaxed with PBEsol.

extended XYZ file:
```
4
Lattice="3.916 0.000 0.000 0.000 3.703 0.000 -0.312 0.000 7.379" Properties=species:S:1:pos:R:3 pbc="T T T"
As 0.000 0.000 0.000
P 2.013 1.852 7.283
Br 0.087 0.000 2.352
Br 1.891 1.852 5.044
```

Values from the calculation:
The value obtained for the total DFT energy (no corrections) is -17.569 eV/atom. For the total moment, the calculation gives 0.000 μB per formula unit. The energy above the lowest structure with this stoichiometry is 0.00 eV/f.u. As for the space group: Pm (6).

***

A plane-wave DFT calculation with meta-GGA SCAN was carried out for a crystal of NdMn2Ge2 relaxed with PBEsol.

extended XYZ file:
```
5
Lattice="-1.973 1.973 5.389 1.973 -1.973 5.389 1.973 1.973 -5.389" Properties=species:S:1:pos:R:3 pbc="T T T"
Nd 0.000 0.000 0.000
Mn 1.973 0.000 2.694
Mn 0.000 1.973 2.694
Ge 0.000 0.000 4.060
Ge 0.000 0.000 6.718
```

Values from the calculation:
The value obtained for the total DFT energy (no corrections) is -24.275 eV/atom. For the total moment, the calculation gives 4.523 μB per formula unit. As for the space group: I4/mmm (139). For the energy of formation from the pure elements, the calculation gives -3.11 eV per formula unit.

***

A plane-wave DFT calculation with meta-GGA SCAN was carried out for a crystal of Nb2AlHg relaxed with PBEsol.

extended XYZ file:
```
4
Lattice="0.000 3.277 3.277 3.277 0.000 3.277 3.277 3.277 0.000" Properties=species:S:1:pos:R:3 pbc="T T T"
Nb 1.639 1.639 1.639
Nb 4.916 4.916 4.916
Al 0.000 0.000 0.000
Hg 3.277 3.277 3.277
```

Values from the calculation:
The value obtained for the total DFT energy (no corrections) is -35.433 eV/atom. For the total moment, the calculation gives 0.000 μB per formula unit. As for the space group: Fm-3m (225). For the energy of formation from the pure elements, the calculation gives 0.45 eV per formula unit.

***

A plane-wave DFT calculation with meta-GGA SCAN was carried out for a crystal of As2SeBrCl relaxed with PBEsol.

extended XYZ file:
```
5
Lattice="5.153 0.000 0.000 0.000 5.153 0.000 0.000 0.000 5.019" Properties=species:S:1:pos:R:3 pbc="T T T"
As 0.000 2.577 0.000
As 2.577 0.000 0.000
Se 0.000 0.000 2.510
Br 0.000 0.000 0.000
Cl 2.577 2.577 2.510
```

Values from the calculation:
The value obtained for the total DFT energy (no corrections) is -16.401 eV/atom. For the total moment, the calculation gives 1.281 μB per formula unit. The energy above the lowest structure with this stoichiometry is 0.22 eV/f.u. As for the space group: P4/mmm (123).

***

A plane-wave DFT calculation with meta-GGA SCAN was carried out for a crystal of CaSnW3 relaxed with PBEsol.

extended XYZ file:
```
5
Lattice="4.933 0.000 0.000 0.000 4.933 0.000 0.000 0.000 4.933" Properties=species:S:1:pos:R:3 pbc="T T T"
Ca 0.000 0.000 0.000
Sn 2.466 2.466 2.466
W 0.000 2.466 2.466
W 2.466 0.000 2.466
W 2.466 2.466 0.000
```

Values from the calculation:
The value obtained for the total DFT energy (no corrections) is -48.460 eV/atom. For the total moment, the calculation gives 0.000 μB per formula unit. As for the space group: Pm-3m (221). For the energy of formation from the pure elements, the calculation gives 12.35 eV per formula unit.

***

A plane-wave DFT calculation with meta-GGA SCAN was carried out for a crystal of LaFePt2 relaxed with PBEsol.

extended XYZ file:
```
4
Lattice="0.000 3.353 3.353 3.353 0.000 3.353 3.353 3.353 0.000" Properties=species:S:1:pos:R:3 pbc="T T T"
La 0.000 0.000 0.000
Fe 3.353 3.353 3.353
Pt 1.676 1.676 1.676
Pt 5.029 5.029 5.029
```

Values from the calculation:
The value obtained for the total DFT energy (no corrections) is -50.823 eV/atom. For the total moment, the calculation gives 3.721 μB per formula unit. The energy above the lowest structure with this stoichiometry is 1.85 eV/f.u. As for the space group: Fm-3m (225). For the energy of formation from the pure elements, the calculation gives -1.67 eV per formula unit.

***

A plane-wave DFT calculation with meta-GGA SCAN was carried out for a crystal of TaCrSe relaxed with PBEsol.

extended XYZ file:
```
3
Lattice="0.000 2.889 2.889 2.889 0.000 2.889 2.889 2.889 0.000" Properties=species:S:1:pos:R:3 pbc="T T T"
Ta 0.000 0.000 0.000
Cr 4.334 4.334 4.334
Se 2.889 2.889 2.889
```

Values from the calculation:
The value obtained for the total DFT energy (no corrections) is -34.815 eV/atom. For the total moment, the calculation gives 1.032 μB per formula unit. The energy above the lowest structure with this stoichiometry is 0.55 eV/f.u. As for the space group: F-43m (216).

***

A plane-wave DFT calculation with meta-GGA SCAN was carried out for a crystal of LiCuF2 relaxed with PBEsol.

extended XYZ file:
```
8
Lattice="5.670 0.000 0.000 0.000 2.829 0.000 -0.655 0.000 5.124" Properties=species:S:1:pos:R:3 pbc="T T T"
Li -0.164 0.656 1.281
Li -0.491 2.173 3.843
Cu 2.835 1.415 0.000
Cu 2.508 1.415 2.562
F 0.469 0.773 4.846
F 0.796 2.056 2.285
F 4.219 0.773 2.839
F 4.547 2.056 0.277
```

Values from the calculation:
The value obtained for the total DFT energy (no corrections) is -8.319 eV/atom. For the total moment, the calculation gives 0.000 μB per formula unit. As for the space group: P2/c (13).

***

A plane-wave DFT calculation with meta-GGA SCAN was carried out for a crystal of CdPtSe2Cl relaxed with PBEsol.

extended XYZ file:
```
5
Lattice="4.953 0.000 0.000 0.000 4.953 0.000 0.000 0.000 4.707" Properties=species:S:1:pos:R:3 pbc="T T T"
Cd 0.000 0.000 0.000
Pt 2.476 2.476 2.353
Se 0.000 2.476 2.353
Se 2.476 0.000 2.353
Cl 2.476 2.476 0.000
```

Values from the calculation:
The value obtained for the total DFT energy (no corrections) is -29.681 eV/atom. For the total moment, the calculation gives 0.001 μB per formula unit. As for the space group: P4/mmm (123).

***

A plane-wave DFT calculation with meta-GGA SCAN was carried out for a crystal of MoH12PdN4O4 relaxed with PBEsol.

extended XYZ file:
```
44
Lattice="-3.681 3.681 7.776 3.681 -3.681 7.776 3.681 3.681 -7.776" Properties=species:S:1:pos:R:3 pbc="T T T"
Mo 3.681 1.840 1.944
Mo 0.000 1.840 5.832
H 2.470 -1.008 2.328
H 4.892 -1.008 2.328
H 0.832 0.630 1.560
H 6.530 0.630 1.560
H 2.251 1.840 -0.872
H 5.111 1.840 -0.872
H 2.470 2.673 -2.328
H 1.211 -1.008 5.447
H 0.000 0.411 3.016
H 3.681 0.411 4.759
H 0.832 4.311 -1.560
H 2.849 0.630 6.216
H 0.832 3.051 1.560
H 2.849 -0.630 9.335
H 0.000 3.270 3.016
H 3.681 3.270 4.759
H 2.470 4.689 2.328
H 1.211 1.008 10.104
H -1.430 1.840 8.647
H 1.430 1.840 8.647
H -2.849 3.051 6.216
H 2.849 3.051 6.216
H -1.211 4.689 5.447
H 1.211 4.689 5.447
Pd 3.681 -1.840 5.832
Pd 0.000 5.521 1.944
N 2.027 1.840 -1.892
N 5.335 1.840 -1.892
N 0.000 0.187 1.996
N 3.681 0.187 5.780
N 0.000 3.494 1.996
N 3.681 3.494 5.780
N -1.654 1.840 9.668
N 1.654 1.840 9.668
O 3.681 0.385 2.949
O 2.226 1.840 0.939
O 5.136 1.840 0.939
O 0.000 0.385 4.826
O 3.681 3.296 2.949
O -1.455 1.840 6.837
O 1.455 1.840 6.837
O 0.000 3.296 4.826
```

Values from the calculation:
The value obtained for the total DFT energy (no corrections) is -8.589 eV/atom. For the total moment, the calculation gives 0.066 μB per formula unit. As for the space group: I4_1/amd (141).

***

A plane-wave DFT calculation with meta-GGA SCAN was carried out for a crystal of NaBiTe2 relaxed with PBEsol.

extended XYZ file:
```
4
Lattice="4.467 0.000 0.000 0.000 4.467 0.000 0.000 0.000 6.199" Properties=species:S:1:pos:R:3 pbc="T T T"
Na 0.000 0.000 0.000
Bi 2.234 2.234 3.099
Te 0.000 0.000 3.099
Te 2.234 2.234 0.000
```

Values from the calculation:
The value obtained for the total DFT energy (no corrections) is -39.787 eV/atom. For the total moment, the calculation gives 0.000 μB per formula unit. As for the space group: P4/mmm (123).

***

A plane-wave DFT calculation with meta-GGA SCAN was carried out for a crystal of Ca2AsF relaxed with PBEsol.

extended XYZ file:
```
4
Lattice="0.000 3.429 3.429 3.429 0.000 3.429 3.429 3.429 0.000" Properties=species:S:1:pos:R:3 pbc="T T T"
Ca 1.714 1.714 1.714
Ca 5.143 5.143 5.143
As 0.000 0.000 0.000
F 3.429 3.429 3.429
```

Values from the calculation:
The value obtained for the total DFT energy (no corrections) is -12.819 eV/atom. For the total moment, the calculation gives 0.000 μB per formula unit. As for the space group: Fm-3m (225).

***

Q: Look up the total DFT energy (no corrections) of the third one.
A: -35.433 eV/atom